No. 1
Compound: ErNp
Source: OQMD via LeMat-Bulk
Functional: PBE
Structure: relaxed

Geometry as POSCAR:
```
ErNp
1.0
0.0000 3.3300 3.3300
3.3300 0.0000 3.3300
3.3300 3.3300 0.0000
Er Np
1 1
direct
0.0000 0.0000 0.0000 Er
0.7500 0.7500 0.7500 Np
```

Results
The calculation puts the energy above the most stable polymorph in this dataset at 1928 meV/atom. As for the formation energy: 2.355 eV/atom.

---

No. 2
Compound: Dy2Ge2PdPt3
Source: OQMD via LeMat-Bulk
Functional: PBE
Structure: relaxed

Geometry as POSCAR:
```
Dy2Ge2PdPt3
1.0
4.3779 0.0000 0.0000
-2.1890 3.7914 0.0000
0.0000 0.0000 9.1131
Dy Ge Pd Pt
2 2 1 3
direct
0.0000 0.0000 0.0000 Dy
0.3333 0.6667 0.5024 Dy
0.6667 0.3333 0.2573 Ge
0.6667 0.3333 0.7538 Ge
0.3333 0.6667 0.1686 Pd
0.0000 0.0000 0.3331 Pt
0.0000 0.0000 0.6667 Pt
0.3333 0.6667 0.8390 Pt
```

Results
The total energy comes out at -6.1767 eV per atom.

---

No. 3
Compound: ZnSnMo4N2
Source: OQMD via LeMat-Bulk
Functional: PBE
Structure: relaxed

Geometry as POSCAR:
```
ZnSnMo4N2
1.0
3.0071 0.0000 0.0000
-1.5035 2.6042 0.0000
0.0000 0.0000 14.0553
Zn Sn Mo N
1 1 4 2
direct
0.0000 0.0000 0.0000 Zn
0.3333 0.6667 0.5000 Sn
0.0000 0.0000 0.3330 Mo
0.0000 0.0000 0.6670 Mo
0.3333 0.6667 0.1553 Mo
0.3333 0.6667 0.8447 Mo
0.6667 0.3333 0.2440 N
0.6667 0.3333 0.7560 N
```

Results
The total energy comes out at -8.1195 eV per atom.